Record 1
Below is crystalline TbDyGa2Ni2 at its relaxed geometry, with properties calculated at the PBE-GGA level.

The structure in POSCAR format:
```
TbDyGa2Ni2
1.0
4.2538 0.0000 0.0000
-2.1269 3.6839 0.0000
0.0000 0.0000 7.2087
Tb Dy Ga Ni
1 1 2 2
Direct
0.0000 0.0000 0.0000 Tb
0.0000 0.0000 0.5000 Dy
0.6667 0.3333 0.7479 Ga
0.3333 0.6667 0.2521 Ga
0.6667 0.3333 0.2532 Ni
0.3333 0.6667 0.7468 Ni
```

Calculated values
Energy of formation = -0.605 eV per atom
Mass density = 8.5 Mg/m³

Record 2
Below is crystalline DyThGaNi at its relaxed geometry, with properties calculated at the PBE-GGA level.

The structure in POSCAR format:
```
DyThGaNi
1.0
-1.5823 1.9606 4.3584
-4.2208 -1.7110 2.1447
0.2497 -2.7265 4.2245
Ni Ga Th Dy
1 1 1 1
Direct
0.2500 0.2500 0.2500 Ni
0.7500 0.7500 0.7500 Ga
0.5000 0.5000 0.5000 Th
0.0000 0.0000 0.0000 Dy
```

Calculated values
Energy of formation = -0.336 eV per atom
Mass density = 9.6 Mg/m³

Record 3
Below is crystalline DyTiGa2Ni5 at its relaxed geometry, with properties calculated at the PBE-GGA level.

The structure in POSCAR format:
```
DyTiGa2Ni5
1.0
3.7878 0.0000 0.0000
0.0000 3.7878 0.0000
0.0000 0.0000 9.0643
Dy Ti Ga Ni
1 1 2 5
Direct
0.0000 0.0000 0.5000 Dy
0.0000 0.0000 0.0000 Ti
0.5000 0.5000 0.1311 Ga
0.5000 0.5000 0.8689 Ga
0.0000 0.5000 0.2806 Ni
0.5000 0.0000 0.2806 Ni
0.0000 0.5000 0.7194 Ni
0.5000 0.0000 0.7194 Ni
0.5000 0.5000 0.5000 Ni
```

Calculated values
Energy of formation = -0.217 eV per atom
Mass density = 8.2 Mg/m³

Record 4
Below is crystalline DyTiGa5Ni2 at its relaxed geometry, with properties calculated at the PBE-GGA level.

The structure in POSCAR format:
```
DyTiGa5Ni2
1.0
-2.7013 2.7170 -2.5423
-0.3337 -3.3059 -3.1785
-5.8178 -2.6417 3.3585
Dy Ti Ga Ni
1 1 5 2
Direct
0.0000 0.0000 0.5000 Dy
0.0000 0.0000 0.0000 Ti
0.0000 0.5000 0.2140 Ga
0.5000 0.0000 0.2140 Ga
0.0000 0.5000 0.7860 Ga
0.5000 0.0000 0.7860 Ga
0.5000 0.5000 0.5000 Ga
0.5000 0.5000 0.1650 Ni
0.5000 0.5000 0.8350 Ni
```

Calculated values
Energy of formation = -0.257 eV per atom
Mass density = 7.4 Mg/m³

Record 5
Below is crystalline Dy2Y2Ga4Ni at its relaxed geometry, with properties calculated at the PBE-GGA level.

The structure in POSCAR format:
```
Dy2Y2Ga4Ni
1.0
-2.9338 0.4409 5.7252
3.7964 -5.1643 -0.7052
4.3238 4.6336 -1.1895
Dy Y Ga Ni
2 2 4 1
Direct
0.5000 0.7500 0.2500 Dy
0.5000 0.2500 0.7500 Dy
0.0000 0.6933 0.6933 Y
0.0000 0.3067 0.3067 Y
0.0000 0.7616 0.2384 Ga
0.5233 0.7616 0.7616 Ga
0.0000 0.2384 0.7616 Ga
0.4767 0.2384 0.2384 Ga
0.0000 0.0000 0.0000 Ni
```

Calculated values
Energy of formation = -0.421 eV per atom
Mass density = 6.9 Mg/m³

Record 6
Below is crystalline Dy2Zn12GaNi3 at its relaxed geometry, with properties calculated at the PBE-GGA level.

The structure in POSCAR format:
```
Dy2Zn12GaNi3
1.0
6.4199 -1.4486 -1.0275
1.9109 6.2978 -1.0275
1.9109 1.1123 6.2834
Dy Zn Ga Ni
2 12 1 3
Direct
0.7579 0.7579 0.7579 Dy
0.2421 0.2421 0.2421 Dy
0.4271 0.4271 0.8450 Zn
0.8019 0.8019 0.2885 Zn
0.2885 0.8019 0.8019 Zn
0.8450 0.4271 0.4271 Zn
0.8019 0.2885 0.8019 Zn
0.4271 0.8450 0.4271 Zn
0.5729 0.5729 0.1550 Zn
0.1981 0.1981 0.7115 Zn
0.7115 0.1981 0.1981 Zn
0.1550 0.5729 0.5729 Zn
0.1981 0.7115 0.1981 Zn
0.5729 0.1550 0.5729 Zn
0.0000 0.0000 0.0000 Ga
0.5000 0.0000 0.0000 Ni
0.0000 0.5000 0.0000 Ni
0.0000 0.0000 0.5000 Ni
```

Calculated values
Energy of formation = -0.054 eV per atom
Mass density = 7.7 Mg/m³